A:
ZrCdPb3: relaxed, PBE-GGA.

POSCAR file:
```
ZrCdPb3
1.0
5.7017 0.0000 0.0000
0.0000 5.7017 0.0000
0.0000 0.0000 5.7017
Zr Cd Pb
1 1 3
Cartesian
0.0000 0.0000 0.0000
2.8509 2.8509 2.8509
0.0000 0.0000 2.8509
0.0000 2.8509 0.0000
2.8509 0.0000 0.0000
```

Computed properties:
The total magnetization is 0.0 μB/cell. Its symmetry is Pm-3m.

***

B:
ZrCdPb3: relaxed, PBE-GGA.

POSCAR file:
```
ZrCdPb3
1.0
5.5262 0.0000 0.0000
0.0000 5.5262 0.0000
0.0000 0.0000 5.5262
Zr Cd Pb
1 1 3
Cartesian
0.0000 0.0000 0.0000
2.7631 2.7631 2.7631
0.0000 2.7631 2.7631
2.7631 0.0000 2.7631
2.7631 2.7631 0.0000
```

Computed properties:
The total magnetization is 0.0 μB/cell. Its symmetry is Pm-3m.

***

Which of them is the most stable, and which is the least stable? A and B, in that order.

***

A:
Cd3Pd2: relaxed, PBE-GGA.

POSCAR file:
```
Cd3Pd2
1.0
3.2744 0.0000 0.0000
0.0000 3.2744 0.0000
0.0000 0.0000 17.1854
Cd Pd
6 4
Cartesian
0.0000 0.0000 0.0000
0.0000 0.0000 3.2698
0.0000 0.0000 6.5508
0.0000 0.0000 10.6346
0.0000 0.0000 13.9157
1.6372 1.6372 8.5927
1.6372 1.6372 1.6320
1.6372 1.6372 4.9134
1.6372 1.6372 12.2721
1.6372 1.6372 15.5534
```

Computed properties:
The total magnetization is 0.0 μB/cell. Its symmetry is P4/mmm.

***

B:
Cd3Pd2: relaxed, PBE-GGA.

POSCAR file:
```
Cd3Pd2
1.0
8.5922 0.0000 0.0000
0.0000 4.3234 0.0000
-3.6483 0.0000 4.9380
Cd Pd
6 4
Cartesian
0.0000 0.0000 0.0000
-0.5329 0.0000 3.0777
1.1808 2.1617 1.8603
4.2961 2.1617 0.0000
3.7631 2.1617 3.0777
5.4768 0.0000 1.8603
-2.1190 2.1617 3.9300
2.7668 0.0000 1.0080
2.1771 0.0000 3.9300
7.0629 2.1617 1.0080
```

Computed properties:
The total magnetization is 0.0 μB/cell. Its symmetry is C2/m.

***

Which of them is the most stable, and which is the least stable? A and B, in that order.

***

A:
Cd2Pd5: relaxed, PBE-GGA.

POSCAR file:
```
Cd2Pd5
1.0
6.3966 -2.4380 0.0000
6.3966 2.4380 0.0000
-0.4730 0.0000 7.4339
Cd Pd
4 10
Cartesian
4.9951 1.5494 6.6552
7.0886 1.5494 4.4957
5.2316 -1.5494 2.9382
7.3251 -1.5494 0.7787
2.3479 0.8527 6.0859
4.2907 0.8585 3.9975
6.2783 0.8708 1.8585
2.5844 -0.8527 2.3690
7.7930 0.8585 7.1533
4.5271 -0.8585 0.2806
9.7357 0.8527 5.0649
6.0418 -0.8708 5.5754
8.0295 -0.8585 3.4364
9.9722 -0.8527 1.3480
```

Computed properties:
The total magnetization is 0.0 μB/cell. Its symmetry is C2/c.

***

B:
Cd2Pd5: relaxed, PBE-GGA.

POSCAR file:
```
Cd2Pd5
1.0
-3.3839 6.2092 2.8617
3.3839 -6.2092 2.8617
3.3839 6.2092 -2.8617
Cd Pd
4 10
Cartesian
1.3377 1.3555 0.0000
1.3377 -1.3555 2.8617
2.0462 7.5647 0.0000
2.0462 4.8537 2.8617
3.3839 -2.8418 1.4308
5.3092 1.4457 0.0000
3.3839 0.0000 1.4308
1.9253 4.7635 0.0000
3.3839 2.8418 1.4308
0.0000 3.3674 1.4308
1.4586 1.4457 2.8617
0.0000 6.2092 1.4308
-1.9253 4.7635 2.8617
0.0000 9.0510 1.4308
```

Computed properties:
The total magnetization is 0.0 μB/cell. Its symmetry is Ibam.

***

Which of them is the most stable, and which is the least stable? A and B, in that order.

***

A:
Cd3Pd5: relaxed, PBE-GGA.

POSCAR file:
```
Cd3Pd5
1.0
7.3970 0.0000 0.0000
0.0000 8.5444 0.0000
0.0000 0.0000 4.2894
Cd Pd
6 10
Cartesian
0.0000 0.0000 0.0000
0.0000 2.2801 2.1447
0.0000 6.2643 2.1447
3.6985 1.9921 2.1447
3.6985 4.2722 0.0000
3.6985 6.5523 2.1447
0.0000 4.2722 0.0000
1.7570 0.0000 2.1447
1.8492 2.1361 0.0000
1.8492 6.4083 0.0000
1.9414 4.2722 2.1447
3.6985 0.0000 0.0000
5.4555 4.2722 2.1447
5.5477 2.1361 0.0000
5.5477 6.4083 0.0000
5.6399 0.0000 2.1447
```

Computed properties:
The total magnetization is 0.0 μB/cell. Its symmetry is Cmmm.

***

B:
Cd3Pd5: relaxed, PBE-GGA.

POSCAR file:
```
Cd3Pd5
1.0
3.0284 0.0000 0.0000
0.0000 3.0284 0.0000
0.0000 0.0000 14.7527
Cd Pd
3 5
Cartesian
0.0000 0.0000 0.0000
1.5142 1.5142 5.4762
1.5142 1.5142 9.2765
0.0000 0.0000 3.6458
0.0000 0.0000 7.3764
0.0000 0.0000 11.1070
1.5142 1.5142 1.8430
1.5142 1.5142 12.9097
```

Computed properties:
The total magnetization is 0.0 μB/cell. Its symmetry is P4/mmm.

***

Which of them is the most stable, and which is the least stable? A and B, in that order.

***

A:
Cd7Pd3: relaxed, PBE-GGA.

POSCAR file:
```
Cd7Pd3
1.0
9.1978 0.0000 0.0000
-4.5989 7.9655 0.0000
0.0000 0.0000 5.5133
Cd Pd
14 6
Cartesian
-1.9289 4.1967 0.0000
0.0000 1.9539 4.4151
-2.9068 6.9886 4.4151
1.6921 0.9769 1.6584
0.0000 5.3103 3.4595
1.9289 4.1967 0.0000
0.0000 7.5376 0.0000
4.5989 0.4279 2.7566
2.6700 3.7688 2.7566
4.5989 2.6552 0.7029
2.9068 6.9886 4.4151
7.5057 0.9769 1.6584
4.5989 6.0116 1.6584
6.5278 3.7688 2.7566
0.0000 3.1480 1.7189
-1.8726 6.3915 1.7189
2.7263 1.5740 4.4756
1.8726 6.3915 1.7189
6.4715 1.5740 4.4756
4.5989 4.8175 4.4756
```

Computed properties:
The total magnetization is 0.0 μB/cell. Its symmetry is P6_3mc.

***

B:
Cd7Pd3: relaxed, PBE-GGA.

POSCAR file:
```
Cd7Pd3
1.0
7.5286 -2.2428 0.0000
7.5286 2.2428 0.0000
-1.3134 0.0000 5.6551
Cd Pd
7 3
Cartesian
0.0000 0.0000 0.0000
2.2033 0.0000 3.6900
5.5257 0.0000 0.7894
5.3033 0.0000 3.7100
8.4405 0.0000 1.9451
8.2182 0.0000 4.8657
11.5405 0.0000 1.9652
-0.6567 0.0000 2.8276
2.6262 0.0000 0.8830
11.1176 0.0000 4.7722
```

Computed properties:
The total magnetization is 0.0 μB/cell. Its symmetry is C2/m.

***

Which of them is the most stable, and which is the least stable? B and A, in that order.

***

A:
PmCd2Pd: relaxed, PBE-GGA.

POSCAR file:
```
PmCd2Pd
1.0
4.2253 0.0000 0.0000
0.0000 4.2253 0.0000
0.0000 0.0000 5.1538
Pm Cd Pd
1 2 1
Cartesian
0.0000 0.0000 0.0000
0.0000 2.1127 2.5769
2.1127 0.0000 2.5769
2.1127 2.1127 0.0000
```

Computed properties:
The total magnetization is 0.0 μB/cell. Its symmetry is P4/mmm.

***

B:
PmCd2Pd: relaxed, PBE-GGA.

POSCAR file:
```
PmCd2Pd
1.0
4.1712 0.0000 0.0000
0.0000 10.1334 0.0000
0.0000 0.0000 8.6335
Pm Cd Pd
4 8 4
Cartesian
0.0000 0.6598 2.1584
0.0000 9.4736 6.4751
2.0856 4.4069 6.4751
2.0856 5.7265 2.1584
0.0000 3.6204 0.3990
0.0000 3.6204 3.9178
0.0000 6.5130 4.7157
0.0000 6.5130 8.2346
2.0856 1.4463 4.7157
2.0856 1.4463 8.2346
2.0856 8.6871 0.3990
2.0856 8.6871 3.9178
0.0000 2.2722 6.4751
0.0000 7.8612 2.1584
2.0856 2.7945 2.1584
2.0856 7.3389 6.4751
```

Computed properties:
The total magnetization is 0.0 μB/cell. Its symmetry is Cmcm.

***

C:
PmCd2Pd: relaxed, PBE-GGA.

POSCAR file:
```
PmCd2Pd
1.0
7.0720 0.0000 0.0000
0.0000 7.0720 0.0000
0.0000 0.0000 7.0720
Pm Cd Pd
4 8 4
Cartesian
0.0000 0.0000 0.0000
0.0000 3.5360 3.5360
3.5360 0.0000 3.5360
3.5360 3.5360 0.0000
1.7680 1.7680 1.7680
1.7680 1.7680 5.3040
1.7680 5.3040 1.7680
1.7680 5.3040 5.3040
5.3040 1.7680 1.7680
5.3040 1.7680 5.3040
5.3040 5.3040 1.7680
5.3040 5.3040 5.3040
0.0000 0.0000 3.5360
0.0000 3.5360 0.0000
3.5360 0.0000 0.0000
3.5360 3.5360 3.5360
```

Computed properties:
The total magnetization is 0.0 μB/cell. Its symmetry is Fm-3m.

***

Which of them is the most stable, and which is the least stable? B and C, in that order.